Computed, not measured: a relaxed structure of La4Y3ThTe8 at the PBE level of DFT.

Output
space group	R-3m, No. 166
formation energy (no corrections)	-1.41	eV/atom

Cell and atoms, written as POSCAR:
```
La4Y3ThTe8
1.0
4.484 2.589 7.341
-4.484 2.589 7.341
0.000 -5.178 7.341
La Y Th Te
4 3 1 8
direct
0.000 0.000 0.000 La
0.000 0.500 0.500 La
0.500 0.000 0.500 La
0.500 0.500 0.000 La
0.000 0.000 0.500 Y
0.000 0.500 0.000 Y
0.500 0.000 0.000 Y
0.500 0.500 0.500 Th
0.240 0.748 0.748 Te
0.245 0.245 0.245 Te
0.252 0.252 0.760 Te
0.252 0.760 0.252 Te
0.748 0.240 0.748 Te
0.748 0.748 0.240 Te
0.755 0.755 0.755 Te
0.760 0.252 0.252 Te
```